1.
Density functional theory data (GGA-PBE) for a geometry-optimized Ti6ReNi5 structure.

abc: 7.4227 7.4227 7.4227
angles: 146.28 131.93 59.99
Element x y z (fractional)
Ti: 0.0805 0.3322 0.7484
Ti: 0.2464 0.0000 0.2464
Ti: 0.4162 0.6678 0.7484
Ti: 0.5838 0.3322 0.2516
Ti: 0.7536 0.0000 0.7536
Ti: 0.9195 0.6678 0.2516
Re: 0.5000 0.5000 0.0000
Ni: 0.0000 0.5000 0.5000
Ni: 0.1711 0.1711 0.0000
Ni: 0.3362 0.8362 0.5000
Ni: 0.6638 0.1638 0.5000
Ni: 0.8289 0.8289 0.0000

Computed properties:
For the formation enthalpy at 0 K, the calculation gives -0.37 eV/atom. The calculation puts the theoretical density at 7.6 g/cm³. Its space-group type is Immm, No. 71.

---

2.
Density functional theory data (GGA-PBE) for a geometry-optimized Ti2ReNi structure.

abc: 7.4869 7.4869 7.4869
angles: 33.87 33.87 33.87
Element x y z (fractional)
Ti: 0.0000 0.0000 0.0000
Ti: 0.2494 0.2494 0.2494
Ti: 0.5000 0.5000 0.5000
Ti: 0.7506 0.7506 0.7506
Re: 0.3772 0.3772 0.3772
Re: 0.6228 0.6228 0.6228
Ni: 0.1237 0.1237 0.1237
Ni: 0.8763 0.8763 0.8763

Computed properties:
For the formation enthalpy at 0 K, the calculation gives -0.40 eV/atom. The calculation puts the theoretical density at 9.7 g/cm³. Its space-group type is R-3m, No. 166.

---

3.
Density functional theory data (GGA-PBE) for a geometry-optimized Ti4ReNi structure.

abc: 3.1093 3.1093 9.4624
angles: 90.00 90.00 90.00
Element x y z (fractional)
Ti: 0.0000 0.0000 0.1552
Ti: 0.0000 0.0000 0.8448
Ti: 0.5000 0.5000 0.3398
Ti: 0.5000 0.5000 0.6602
Re: 0.0000 0.0000 0.5000
Ni: 0.5000 0.5000 0.0000

Computed properties:
For the formation enthalpy at 0 K, the calculation gives -0.26 eV/atom. The calculation puts the theoretical density at 7.9 g/cm³. Its space-group type is P4/mmm, No. 123.

---

4.
Density functional theory data (GGA-PBE) for a geometry-optimized Ti2ReNi structure.

abc: 5.0656 5.0656 5.0656
angles: 142.91 131.14 62.89
Element x y z (fractional)
Ti: 0.0000 0.0000 0.0000
Ti: 0.7380 0.2380 0.5000
Re: 0.4984 0.4984 0.0000
Ni: 0.2474 0.7474 0.5000

Computed properties:
For the formation enthalpy at 0 K, the calculation gives -0.25 eV/atom. The calculation puts the theoretical density at 9.7 g/cm³. Its space-group type is Imm2, No. 44.